[1]
Density functional theory data (GGA-PBEsol) for a relaxed BaSiOs4 crystal.

extended XYZ file:
```
6
Lattice="5.336 0.000 0.000 2.668 4.621 0.000 2.668 1.540 4.357" Properties=species:S:1:pos:R:3 pbc="T T T"
Os 5.336 3.081 3.795
Os 5.336 4.605 1.639
Si 8.004 4.621 3.268
Os 6.656 2.319 1.639
Ba 0.000 0.000 0.000
Os 4.016 2.319 1.639
```

Properties
For the uncorrected formation energy, the calculation gives 1.023 eV per atom. As for the space group: F-43m (216).

[2]
Density functional theory data (GGA-PBEsol) for a relaxed Y2Ge2Bi crystal.

extended XYZ file:
```
10
Lattice="-2.561 -2.672 1.683 -3.086 -1.332 -6.811 5.028 -5.567 -1.190" Properties=species:S:1:pos:R:3 pbc="T T T"
Y 0.754 -6.813 -4.759
Y -2.200 -4.219 -5.135
Ge 3.258 -5.427 -3.660
Y -1.373 -2.759 -1.560
Bi 0.000 0.000 0.000
Ge -1.316 -1.473 -4.341
Bi 0.971 -3.450 -4.000
Y 1.581 -5.353 -1.183
Ge 0.377 -4.611 -6.749
Ge 1.565 -2.288 -1.252
```

Properties
Its formation energy is -0.75 eV/atom. As for the space group: P4/mbm (127).

[3]
Density functional theory data (GGA-PBEsol) for a relaxed BaLaCoIrO6 crystal.

extended XYZ file:
```
10
Lattice="-3.586 4.177 0.920 1.404 -3.408 4.189 5.373 1.184 -0.960" Properties=species:S:1:pos:R:3 pbc="T T T"
O 3.531 0.435 3.061
O 0.683 0.036 3.355
Ba 1.489 2.503 3.340
O -1.367 2.039 3.643
Ir -1.084 0.388 2.557
O -0.343 1.681 1.227
O 4.671 0.033 0.374
Co 2.268 -0.703 4.152
La -1.916 3.555 1.730
O 2.450 1.677 0.800
```

Properties
For the uncorrected formation energy, the calculation gives -1.887 eV per atom. As for the space group: P1 (1).

[4]
Density functional theory data (GGA-PBEsol) for a relaxed LaSiRu2 crystal.

extended XYZ file:
```
4
Lattice="-2.401 -1.735 0.028 3.186 -1.893 3.672 -1.632 4.741 1.441" Properties=species:S:1:pos:R:3 pbc="T T T"
Ru 1.593 -0.947 1.836
La -0.424 0.557 2.570
Ru -0.816 2.370 0.721
Si -1.201 -0.867 0.014
```

Properties
For the uncorrected formation energy, the calculation gives 0.085 eV per atom. As for the space group: C2/m (12).

[5]
Density functional theory data (GGA-PBEsol) for a relaxed BaYSb3 crystal.

extended XYZ file:
```
5
Lattice="5.696 0.000 0.000 0.000 5.696 0.000 0.000 0.000 5.696" Properties=species:S:1:pos:R:3 pbc="T T T"
Sb 0.000 0.000 2.848
Sb 2.848 0.000 0.000
Y 0.000 0.000 0.000
Sb 0.000 2.848 0.000
Ba 2.848 2.848 2.848
```

Properties
For the uncorrected formation energy, the calculation gives -0.434 eV per atom. As for the space group: Pm-3m (221).

[6]
Density functional theory data (GGA-PBEsol) for a relaxed PtRh2W crystal.

extended XYZ file:
```
4
Lattice="-3.304 -0.468 -1.892 -1.776 -0.811 3.302 1.730 4.392 -0.219" Properties=species:S:1:pos:R:3 pbc="T T T"
Rh -2.057 1.642 -0.703
Rh 0.000 0.000 0.000
W -2.540 -0.639 0.705
Pt -1.293 1.470 1.894
```

Properties
Its formation energy is -0.25 eV/atom. As for the space group: I-4m2 (119).

[7]
Density functional theory data (GGA-PBEsol) for a relaxed LiFePt2 crystal.

extended XYZ file:
```
4
Lattice="-2.204 1.120 -1.010 -1.658 -3.553 -0.321 -1.932 0.474 4.740" Properties=species:S:1:pos:R:3 pbc="T T T"
Pt -1.876 0.460 4.602
Li -3.412 -0.853 2.967
Fe -0.941 0.231 2.309
Pt -2.464 -1.086 0.641
```

Properties
Its formation energy is -0.22 eV/atom. As for the space group: Pmm2 (25).

[8]
Density functional theory data (GGA-PBEsol) for a relaxed NdHoZn2 crystal.

extended XYZ file:
```
4
Lattice="-1.971 4.497 -1.033 -3.916 0.367 -3.116 -4.524 1.227 1.790" Properties=species:S:1:pos:R:3 pbc="T T T"
Zn -2.603 1.523 -0.590
Zn -7.809 4.569 -1.769
Ho 0.000 0.000 0.000
Nd -5.206 3.046 -1.179
```

Properties
Its formation energy is -0.31 eV/atom. As for the space group: Fm-3m (225).

[9]
Density functional theory data (GGA-PBEsol) for a relaxed B3SCl crystal.

extended XYZ file:
```
5
Lattice="3.905 0.000 0.000 0.000 3.905 0.000 0.000 0.000 3.905" Properties=species:S:1:pos:R:3 pbc="T T T"
B 0.000 1.953 0.000
B 0.000 0.000 1.953
Cl 1.953 1.953 1.953
S 0.000 0.000 0.000
B 1.953 0.000 0.000
```

Properties
For the uncorrected formation energy, the calculation gives 1.813 eV per atom. As for the space group: Pm-3m (221).

[10]
Density functional theory data (GGA-PBEsol) for a relaxed Ir2RuW crystal.

extended XYZ file:
```
4
Lattice="3.860 0.000 0.000 0.000 3.860 0.000 -1.930 -1.930 3.814" Properties=species:S:1:pos:R:3 pbc="T T T"
Ir 0.000 1.930 1.907
Ru 1.930 1.930 0.000
Ir 0.000 0.000 0.000
W 1.930 0.000 1.907
```

Properties
Its formation energy is -0.19 eV/atom. As for the space group: I-4m2 (119).

[11]
Density functional theory data (GGA-PBEsol) for a relaxed Cd2AsSe crystal.

extended XYZ file:
```
4
Lattice="-0.996 0.815 -3.527 -2.376 -4.208 -0.301 -3.145 3.291 1.649" Properties=species:S:1:pos:R:3 pbc="T T T"
Cd -1.188 -2.104 -0.150
Se -0.498 0.407 -1.764
As -3.259 -0.051 -1.090
Cd -1.573 1.645 0.824
```

Properties
For the uncorrected formation energy, the calculation gives 0.089 eV per atom. As for the space group: Cmmm (65).

[12]
Density functional theory data (GGA-PBEsol) for a relaxed Mn3GeF crystal.

extended XYZ file:
```
5
Lattice="4.765 0.000 0.000 0.000 4.765 0.000 0.000 0.000 4.765" Properties=species:S:1:pos:R:3 pbc="T T T"
Ge 0.000 0.000 0.000
F 2.383 2.383 2.383
Mn 2.383 0.000 0.000
Mn 0.000 2.383 0.000
Mn 0.000 0.000 2.383
```

Properties
For the uncorrected formation energy, the calculation gives 0.709 eV per atom. As for the space group: Pm-3m (221).